Record 1
The following is a DFT calculation (PBE) of a relaxed CuBSe2 crystal. Values from VASP.

Quantum ESPRESSO input file:
```
&SYSTEM
  ibrav = 0, nat = 8, ntyp = 3
/
ATOMIC_SPECIES
Cu 63.55 Cu.upf
B 10.81 B.upf
Se 78.96 Se.upf
ATOMIC_POSITIONS angstrom
Cu 0.332 3.176 2.077
Cu 4.746 5.841 3.669
B 2.222 5.647 0.154
B 2.856 3.371 5.592
Se 0.891 6.672 1.413
Se 2.419 3.750 1.038
Se 2.659 5.267 4.708
Se 4.187 2.345 4.333
CELL_PARAMETERS angstrom
4.187 0.000 0.000
0.862 6.036 0.000
0.029 2.981 5.746
```

Calculated values
* uncorrected formation energy: -53 meV/atom

=====

Record 2
The following is a DFT calculation (PBE) of a relaxed Y3TeW crystal. Values from VASP.

Quantum ESPRESSO input file:
```
&SYSTEM
  ibrav = 0, nat = 5, ntyp = 3
/
ATOMIC_SPECIES
Y 88.91 Y.upf
Te 127.60 Te.upf
W 183.84 W.upf
ATOMIC_POSITIONS angstrom
Y 0.000 0.000 2.710
Y 0.000 2.710 0.000
Y 2.710 0.000 0.000
Te 2.710 2.710 2.710
W 0.000 0.000 0.000
CELL_PARAMETERS angstrom
5.420 0.000 0.000
0.000 5.420 0.000
0.000 0.000 5.420
```

Calculated values
* uncorrected formation energy: 306 meV/atom
* energy above the lowest structure with this stoichiometry: 0 meV per atom

=====

Record 3
The following is a DFT calculation (PBE) of a relaxed NbTcMo2Ru crystal. Values from VASP.

Quantum ESPRESSO input file:
```
&SYSTEM
  ibrav = 0, nat = 5, ntyp = 4
/
ATOMIC_SPECIES
Nb 92.91 Nb.upf
Tc 98.00 Tc.upf
Mo 95.94 Mo.upf
Ru 101.07 Ru.upf
ATOMIC_POSITIONS angstrom
Nb 0.000 0.000 0.000
Tc 2.327 2.327 2.277
Mo 0.000 2.327 2.277
Mo 2.327 0.000 2.277
Ru 2.327 2.327 0.000
CELL_PARAMETERS angstrom
4.655 0.000 0.000
0.000 4.655 0.000
0.000 0.000 4.554
```

Calculated values
* formation energy from the elements: 1.475 eV per atom

=====

Record 4
The following is a DFT calculation (PBE) of a relaxed RePOs2 crystal. Values from VASP.

Quantum ESPRESSO input file:
```
&SYSTEM
  ibrav = 0, nat = 4, ntyp = 3
/
ATOMIC_SPECIES
Re 186.21 Re.upf
P 30.97 P.upf
Os 190.23 Os.upf
ATOMIC_POSITIONS angstrom
Re 0.000 0.000 0.000
P -0.640 0.000 2.496
Os 0.081 1.986 3.668
Os 1.464 1.986 1.325
CELL_PARAMETERS angstrom
2.824 0.000 0.000
0.000 3.971 0.000
-1.280 0.000 4.993
```

Calculated values
* formation energy from the elements: 0.100 eV per atom

=====

Number 1: E -4.49 eV per atom. Number 2: E -6.79 eV per atom. Number 3: E -8.80 eV per atom. Number 4: E -9.98 eV per atom.